No. 1
VASP calculation (PBE) on a relaxed structure of Pr2NdCd2Sn2.

Computed properties:
Energy of formation from the pure elements = -0.351 eV per atom
Symmetry = R-3m, No. 166
Calculated volume = 201.5 Å³/cell

abc: 9.762 9.762 9.762
angles: 29.65 29.65 29.65
Fractional coordinates of all 7 atoms:
Pr (0.132, 0.132, 0.132)
Pr (0.868, 0.868, 0.868)
Nd (0.000, 0.000, 0.000)
Cd (0.415, 0.415, 0.415)
Cd (0.585, 0.585, 0.585)
Sn (0.268, 0.268, 0.268)
Sn (0.732, 0.732, 0.732)



No. 2
VASP calculation (PBE) on a relaxed structure of PrNdTlCd.

Computed properties:
Energy of formation from the pure elements = -0.361 eV per atom
Symmetry = F-43m, No. 216
Calculated volume = 118.7 Å³/cell

abc: 5.517 5.517 5.517
angles: 60.00 60.00 60.00
Fractional coordinates of all 4 atoms:
Pr (0.000, 0.000, 0.000)
Nd (0.500, 0.500, 0.500)
Tl (0.250, 0.250, 0.250)
Cd (0.750, 0.750, 0.750)



No. 3
VASP calculation (PBE) on a relaxed structure of Pr2NdTl2Cd2.

Computed properties:
Energy of formation from the pure elements = -0.195 eV per atom
Symmetry = R-3m, No. 166
Calculated volume = 204.0 Å³/cell

abc: 9.647 9.647 9.647
angles: 30.42 30.42 30.42
Fractional coordinates of all 7 atoms:
Pr (0.130, 0.130, 0.130)
Pr (0.870, 0.870, 0.870)
Nd (0.000, 0.000, 0.000)
Tl (0.269, 0.269, 0.269)
Tl (0.731, 0.731, 0.731)
Cd (0.412, 0.412, 0.412)
Cd (0.588, 0.588, 0.588)



No. 4
VASP calculation (PBE) on a relaxed structure of PrNdZnCd.

Computed properties:
Energy of formation from the pure elements = -0.316 eV per atom
Relative energy among the computed polymorphs = 0 meV/atom
Symmetry = P4mm, No. 99
Calculated volume = 108.2 Å³/cell

abc: 3.753 3.753 7.681
angles: 90.00 90.00 90.00
Fractional coordinates of all 4 atoms:
Pr (0.000, 0.000, 0.000)
Nd (0.000, 0.000, 0.461)
Zn (0.500, 0.500, 0.234)
Cd (0.500, 0.500, 0.727)



No. 5
VASP calculation (PBE) on a relaxed structure of PrNdZnCd.

Computed properties:
Energy of formation from the pure elements = -0.294 eV per atom
Relative energy among the computed polymorphs = 22 meV/atom
Symmetry = F-43m, No. 216
Calculated volume = 108.8 Å³/cell

abc: 5.358 5.358 5.358
angles: 60.00 60.00 60.00
Fractional coordinates of all 4 atoms:
Pr (0.000, 0.000, 0.000)
Nd (0.500, 0.500, 0.500)
Zn (0.750, 0.750, 0.750)
Cd (0.250, 0.250, 0.250)



No. 6
VASP calculation (PBE) on a relaxed structure of Nd3Cd4Pt4.

Computed properties:
Energy of formation from the pure elements = -0.729 eV per atom
Symmetry = Immm, No. 71
Calculated volume = 252.5 Å³/cell

abc: 8.868 8.868 8.868
angles: 153.21 125.97 61.31
Fractional coordinates of all 11 atoms:
Nd (0.000, 0.000, 0.000)
Nd (0.383, 0.883, 0.500)
Nd (0.617, 0.117, 0.500)
Cd (0.022, 0.329, 0.693)
Cd (0.364, 0.671, 0.693)
Cd (0.636, 0.329, 0.307)
Cd (0.978, 0.671, 0.307)
Pt (0.235, 0.235, 0.000)
Pt (0.307, 0.500, 0.807)
Pt (0.693, 0.500, 0.193)
Pt (0.765, 0.765, 0.000)



No. 7
VASP calculation (PBE) on a relaxed structure of NdCdPt2.

Computed properties:
Energy of formation from the pure elements = -0.691 eV per atom
Symmetry = P4/mmm, No. 123
Calculated volume = 82.5 Å³/cell

abc: 4.746 4.746 3.664
angles: 90.00 90.00 90.00
Fractional coordinates of all 4 atoms:
Nd (0.000, 0.000, 0.000)
Cd (0.500, 0.500, 0.000)
Pt (0.000, 0.500, 0.500)
Pt (0.500, 0.000, 0.500)



No. 8
VASP calculation (PBE) on a relaxed structure of Nd3Cd2Pt3.

Computed properties:
Energy of formation from the pure elements = -0.841 eV per atom
Symmetry = P6_3/mcm, No. 193
Calculated volume = 388.0 Å³/cell

abc: 8.691 8.691 5.932
angles: 90.00 90.00 120.00
Fractional coordinates of all 16 atoms:
Nd (0.000, 0.283, 0.250)
Nd (0.000, 0.717, 0.750)
Nd (0.283, 0.000, 0.250)
Nd (0.283, 0.283, 0.750)
Nd (0.717, 0.000, 0.750)
Nd (0.717, 0.717, 0.250)
Cd (0.333, 0.667, 0.000)
Cd (0.333, 0.667, 0.500)
Cd (0.667, 0.333, 0.000)
Cd (0.667, 0.333, 0.500)
Pt (0.000, 0.378, 0.750)
Pt (0.000, 0.622, 0.250)
Pt (0.378, 0.000, 0.750)
Pt (0.378, 0.378, 0.250)
Pt (0.622, 0.000, 0.250)
Pt (0.622, 0.622, 0.750)



No. 9
VASP calculation (PBE) on a relaxed structure of NdCd3Pt3.

Computed properties:
Energy of formation from the pure elements = 0.247 eV per atom
Symmetry = Pm-3n, No. 223
Calculated volume = 391.2 Å³/cell

abc: 7.313 7.313 7.313
angles: 90.00 90.00 90.00
Fractional coordinates of all 14 atoms:
Nd (0.000, 0.000, 0.000)
Nd (0.500, 0.500, 0.500)
Cd (0.000, 0.250, 0.500)
Cd (0.000, 0.750, 0.500)
Cd (0.250, 0.500, 0.000)
Cd (0.500, 0.000, 0.250)
Cd (0.500, 0.000, 0.750)
Cd (0.750, 0.500, 0.000)
Pt (0.000, 0.500, 0.250)
Pt (0.000, 0.500, 0.750)
Pt (0.250, 0.000, 0.500)
Pt (0.500, 0.250, 0.000)
Pt (0.500, 0.750, 0.000)
Pt (0.750, 0.000, 0.500)



No. 10
VASP calculation (PBE) on a relaxed structure of Nd4Cd3Pt.

Computed properties:
Energy of formation from the pure elements = -0.505 eV per atom
Symmetry = P4/mmm, No. 123
Calculated volume = 218.2 Å³/cell

abc: 3.771 3.771 15.339
angles: 90.00 90.00 90.00
Fractional coordinates of all 8 atoms:
Nd (0.000, 0.000, 0.109)
Nd (0.000, 0.000, 0.370)
Nd (0.000, 0.000, 0.630)
Nd (0.000, 0.000, 0.891)
Cd (0.500, 0.500, 0.244)
Cd (0.500, 0.500, 0.500)
Cd (0.500, 0.500, 0.756)
Pt (0.500, 0.500, 0.000)



No. 11
VASP calculation (PBE) on a relaxed structure of NdCd2Pt2.

Computed properties:
Energy of formation from the pure elements = -0.628 eV per atom
Symmetry = P2_1/m, No. 11
Calculated volume = 223.1 Å³/cell

abc: 5.422 4.697 9.097
angles: 90.00 105.69 90.00
Fractional coordinates of all 10 atoms:
Nd (0.145, 0.250, 0.275)
Nd (0.855, 0.750, 0.725)
Cd (0.237, 0.250, 0.643)
Cd (0.380, 0.750, 0.050)
Cd (0.620, 0.250, 0.950)
Cd (0.763, 0.750, 0.357)
Pt (0.106, 0.250, 0.925)
Pt (0.338, 0.750, 0.497)
Pt (0.662, 0.250, 0.503)
Pt (0.894, 0.750, 0.075)



No. 12
VASP calculation (PBE) on a relaxed structure of Nd2CdPt.

Computed properties:
Energy of formation from the pure elements = -0.606 eV per atom
Relative energy among the computed polymorphs = 83 meV/atom
Symmetry = R3m, No. 160
Calculated volume = 121.3 Å³/cell

abc: 8.121 8.121 8.121
angles: 30.37 30.37 30.37
Fractional coordinates of all 4 atoms:
Nd (0.000, 0.000, 0.000)
Nd (0.199, 0.199, 0.199)
Cd (0.434, 0.434, 0.434)
Pt (0.598, 0.598, 0.598)